Record 1
Li2YSe: relaxed, PBEsol.

a b c (Å): 3.960 3.960 11.397
angles (deg): 90.00 90.00 90.00
Space group I4/mmm (No. 139)
One atom of each set of equivalent atoms:
Li 0.000 0.500 0.250
Y 0.000 0.000 0.000
Se 0.000 0.000 0.500

Output
raw formation energy	-14.77	kcal/mol of atoms
uncorrected energy	-4.2917	eV/atom
magnetization	0.00	μB/atom

=====

Record 2
Li2YSe: relaxed, PBEsol.

a b c (Å): 3.714 3.714 5.769
angles (deg): 90.00 90.00 90.00
Space group P4/mmm (No. 123)
One atom of each set of equivalent atoms:
Li 0.000 0.000 0.200
Y 0.500 0.500 0.500
Se 0.500 0.500 0.000

Output
raw formation energy	-14.59	kcal/mol of atoms
uncorrected energy	-4.2840	eV/atom
magnetization	0.08	μB/atom

=====

Record 3
LiY3Se: relaxed, PBEsol.

a b c (Å): 5.363 5.363 5.363
angles (deg): 90.00 90.00 90.00
Space group Pm-3m (No. 221)
One atom of each set of equivalent atoms:
Li 0.000 0.000 0.000
Y 0.000 0.500 0.500
Se 0.500 0.500 0.500

Output
raw formation energy	-8.95	kcal/mol of atoms
uncorrected energy	-5.6448	eV/atom
magnetization	0.00	μB/atom

=====

Record 4
Li2YSe: relaxed, PBEsol.

a b c (Å): 3.729 3.972 11.655
angles (deg): 90.00 90.00 90.00
Space group Amm2 (No. 38)
One atom of each set of equivalent atoms:
Li 0.000 0.000 0.000
Li 0.500 0.000 0.404
Y 0.500 0.000 0.678
Se 0.000 0.000 0.245

Output
raw formation energy	-18.63	kcal/mol of atoms
uncorrected energy	-4.4592	eV/atom
magnetization	0.00	μB/atom

=====

Record 5
LiZr2Se: relaxed, PBEsol.

a b c (Å): 3.6416 3.6416 20.5711
angles (deg): 90.00 90.00 120.00
Space group R-3m (No. 166, hexagonal axes)
One atom of each set of equivalent atoms:
Li 0.0000 0.0000 0.0000
Zr 0.0000 0.0000 0.2441
Se 0.0000 0.0000 0.5000

Output
raw formation energy	-8.38	kcal/mol of atoms
uncorrected energy	-6.3626	eV/atom
magnetization	0.00	μB/atom

=====

Record 6
LiZrSe3: relaxed, PBEsol.

a b c (Å): 5.181 5.181 5.181
angles (deg): 90.00 90.00 90.00
Space group Pm-3m (No. 221)
One atom of each set of equivalent atoms:
Li 0.000 0.000 0.000
Zr 0.500 0.500 0.500
Se 0.000 0.500 0.500

Output
raw formation energy	-18.28	kcal/mol of atoms
uncorrected energy	-5.3143	eV/atom
magnetization	0.00	μB/atom

=====

Record 7
Li4Si: relaxed, PBEsol.

a b c (Å): 4.549 4.549 7.098
angles (deg): 90.00 90.00 90.00
Space group I4/mmm (No. 139)
One atom of each set of equivalent atoms:
Li 0.000 0.000 0.151
Li 0.000 0.500 0.250
Si 0.000 0.000 0.500

Output
raw formation energy	0.51	kcal/mol of atoms
uncorrected energy	-2.7007	eV/atom
magnetization	0.00	μB/atom

=====

Record 8
Li7Si3: relaxed, PBEsol.

a b c (Å): 7.5084 7.5084 17.8419
angles (deg): 90.00 90.00 120.00
Space group P3_212 (No. 153)
One atom of each set of equivalent atoms:
Li 0.0843 0.5302 0.2066
Li 0.0859 0.2221 0.1263
Li 0.1078 0.2223 0.9838
Li 0.1076 0.5527 0.3492
Li 0.1112 0.2224 0.8333
Li 0.1143 0.5572 0.5000
Li 0.4468 0.2223 0.3647
Li 0.4671 0.2236 0.2114
Si 0.1019 0.2230 0.3988
Si 0.1296 0.5602 0.9344
Si 0.4257 0.2084 0.9339

Output
raw formation energy	-6.44	kcal/mol of atoms
uncorrected energy	-3.3801	eV/atom
magnetization	0.00	μB/atom

=====

Record 9
LiSi3: relaxed, PBEsol.

a b c (Å): 3.531 3.982 7.847
angles (deg): 90.00 90.00 90.00
Space group Immm (No. 71)
One atom of each set of equivalent atoms:
Li 0.000 0.000 0.000
Si 0.000 0.000 0.500
Si 0.000 0.500 0.246

Output
raw formation energy	2.29	kcal/mol of atoms
uncorrected energy	-4.7022	eV/atom
magnetization	0.00	μB/atom

=====

Record 10
Li3Si: relaxed, PBEsol.

a b c (Å): 3.535 4.179 7.716
angles (deg): 90.00 90.00 90.00
Space group Immm (No. 71)
One atom of each set of equivalent atoms:
Li 0.000 0.000 0.000
Li 0.000 0.500 0.253
Si 0.000 0.000 0.500

Output
raw formation energy	-4.83	kcal/mol of atoms
uncorrected energy	-3.1211	eV/atom
magnetization	0.00	μB/atom

=====

Record 11
Li8Si: relaxed, PBEsol.

a b c (Å): 8.378 8.378 4.357
angles (deg): 90.00 90.00 90.00
Space group I4/mmm (No. 139)
One atom of each set of equivalent atoms:
Li 0.000 0.316 0.000
Li 0.151 0.151 0.500
Si 0.000 0.000 0.000

Output
raw formation energy	-2.12	kcal/mol of atoms
uncorrected energy	-2.4787	eV/atom
magnetization	0.00	μB/atom

=====

Record 12
Li3Si: relaxed, PBEsol.

a b c (Å): 2.692 4.125 5.437
angles (deg): 90.00 90.00 90.00
Space group Pmmm (No. 47)
One atom of each set of equivalent atoms:
Li 0.000 0.000 0.000
Li 0.500 0.500 0.280
Si 0.000 0.000 0.500

Output
raw formation energy	-3.17	kcal/mol of atoms
uncorrected energy	-3.0494	eV/atom
magnetization	0.00	μB/atom